[1]
# InAs2Br GGA-PBEsol relaxed
# - raw total energy (eV per cell) = -15.542
# - density (g/cm3) = 5.6
# - energy relative to the elements, uncorrected (meV/atom) = -119.2
data_InAs2Br
_chemical_formula_sum 'In1 As2 Br1'
_cell_length_a 3.581
_cell_length_b 5.075
_cell_length_c 5.845
_cell_angle_alpha 73.57
_cell_angle_beta 89.86
_cell_angle_gamma 89.96
_symmetry_space_group_name_H-M 'P 1'
_symmetry_Int_Tables_number 1
_symmetry_space_group_name_Hall 'P 1'
loop_
_atom_site_label
_atom_site_type_symbol
_atom_site_fract_x
_atom_site_fract_y
_atom_site_fract_z
In1 In 0.000 0.000 0.000
As1 As 0.001 0.881 0.522
As2 As 0.501 0.541 0.603
Br1 Br 0.501 0.470 0.129

[2]
# InAs2OsBr GGA-PBEsol relaxed
# - raw total energy (eV per cell) = -25.364
# - density (g/cm3) = 7.3
# - energy relative to the elements, uncorrected (meV/atom) = 383.4
data_InAs2OsBr
_chemical_formula_sum 'In1 As2 Os1 Br1'
_cell_length_a 4.694
_cell_length_b 4.694
_cell_length_c 5.526
_cell_angle_alpha 90.00
_cell_angle_beta 90.00
_cell_angle_gamma 90.00
_symmetry_space_group_name_H-M 'P 4/m m m'
_symmetry_Int_Tables_number 123
_symmetry_space_group_name_Hall '-P 4 2'
loop_
_atom_site_label
_atom_site_type_symbol
_atom_site_fract_x
_atom_site_fract_y
_atom_site_fract_z
In1 In 0.000 0.000 0.000
As1 As 0.000 0.500 0.500
Os1 Os 0.500 0.500 0.500
Br1 Br 0.500 0.500 0.000

[3]
# InAs2PBr GGA-PBEsol relaxed
# - raw total energy (eV per cell) = -15.456
# - density (g/cm3) = 4.5
# - energy relative to the elements, uncorrected (meV/atom) = 1080.2
data_InAs2PBr
_chemical_formula_sum 'In1 As2 P1 Br1'
_cell_length_a 5.221
_cell_length_b 5.221
_cell_length_c 5.130
_cell_angle_alpha 90.00
_cell_angle_beta 90.00
_cell_angle_gamma 90.00
_symmetry_space_group_name_H-M 'P 4/m m m'
_symmetry_Int_Tables_number 123
_symmetry_space_group_name_Hall '-P 4 2'
loop_
_atom_site_label
_atom_site_type_symbol
_atom_site_fract_x
_atom_site_fract_y
_atom_site_fract_z
In1 In 0.000 0.000 0.000
As1 As 0.000 0.500 0.000
P1 P 0.500 0.500 0.500
Br1 Br 0.000 0.000 0.500